# 1
The following is a PBE+U calculation of an optimized crystal structure of SrCrCoO4, from Alexandria via LeMat-Bulk.

Lattice parameters (Å, degrees): 5.589 5.277 6.257 90.00 103.53 90.00
Element x y z (fractional)
Sr 0.168 0.250 0.102
Sr 0.832 0.750 0.898
Cr 0.149 0.750 0.466
Cr 0.851 0.250 0.534
Co 0.390 0.250 0.668
Co 0.610 0.750 0.332
O 0.113 0.009 0.690
O 0.113 0.491 0.690
O 0.256 0.750 0.189
O 0.481 0.750 0.599
O 0.519 0.250 0.401
O 0.744 0.250 0.811
O 0.887 0.509 0.310
O 0.887 0.991 0.310

Space-group type: P2_1/m

# 2
The following is a PBE+U calculation of an optimized crystal structure of TaCrCo2O6, from Alexandria via LeMat-Bulk.

Lattice parameters (Å, degrees): 5.116 5.133 5.520 62.70 63.32 60.62
Element x y z (fractional)
Ta 0.000 0.000 0.000
Cr 0.500 0.494 0.506
Co 0.203 0.202 0.388
Co 0.695 0.694 0.913
O 0.120 0.375 0.720
O 0.260 0.883 0.234
O 0.393 0.771 0.727
O 0.618 0.275 0.213
O 0.774 0.104 0.724
O 0.885 0.617 0.211

Space-group type: P1

# 3
The following is a PBE+U calculation of an optimized crystal structure of TbCr4Co3O12, from Alexandria via LeMat-Bulk.

Lattice parameters (Å, degrees): 6.423 6.423 6.423 109.47 109.47 109.47
Element x y z (fractional)
Tb 0.000 0.000 0.000
Cr 0.000 0.000 0.500
Cr 0.000 0.500 0.000
Cr 0.500 0.000 0.000
Cr 0.500 0.500 0.500
Co 0.000 0.500 0.500
Co 0.500 0.000 0.500
Co 0.500 0.500 0.000
O 0.138 0.830 0.307
O 0.170 0.307 0.477
O 0.170 0.693 0.862
O 0.307 0.138 0.830
O 0.307 0.477 0.170
O 0.477 0.170 0.307
O 0.523 0.830 0.693
O 0.693 0.523 0.830
O 0.693 0.862 0.170
O 0.830 0.307 0.138
O 0.830 0.693 0.523
O 0.862 0.170 0.693

Space-group type: Im-3

DFT total energy, respectively: -90.38; -77.38; -144.29 eV/cell.